(1)
# NaCdHgF6 | the Alexandria database | PBE | relaxed
data_NaCdHgF6
_cell_length_a 5.183
_cell_length_b 5.183
_cell_length_c 10.734
_cell_angle_alpha 90.00
_cell_angle_beta 90.00
_cell_angle_gamma 90.00
_space_group_name_H-M_alt 'P 1'
_space_group_IT_number 1
_space_group_name_Hall 'P 1'
loop_
_atom_site_label
_atom_site_fract_x
_atom_site_fract_y
_atom_site_fract_z
_atom_site_occupancy
Na1 0.000 0.000 0.000 1
Na2 0.500 0.500 0.500 1
Cd1 0.000 0.000 0.666 1
Cd2 0.500 0.500 0.166 1
Hg1 0.000 0.000 0.333 1
Hg2 0.500 0.500 0.833 1
F1 0.188 0.188 0.499 1
F2 0.196 0.196 0.173 1
F3 0.198 0.198 0.827 1
F4 0.302 0.698 0.327 1
F5 0.304 0.696 0.673 1
F6 0.312 0.688 0.999 1
F7 0.688 0.312 0.999 1
F8 0.696 0.304 0.673 1
F9 0.698 0.302 0.327 1
F10 0.802 0.802 0.827 1
F11 0.804 0.804 0.173 1
F12 0.812 0.812 0.499 1
# ΔE_f (raw), eV per formula unit: -16.60


(2)
# Ba3TaCr | the Alexandria database | PBE | relaxed
data_Ba3TaCr
_cell_length_a 6.138
_cell_length_b 6.138
_cell_length_c 6.138
_cell_angle_alpha 90.00
_cell_angle_beta 90.00
_cell_angle_gamma 90.00
_space_group_name_H-M_alt 'P 1'
_space_group_IT_number 1
_space_group_name_Hall 'P 1'
loop_
_atom_site_label
_atom_site_fract_x
_atom_site_fract_y
_atom_site_fract_z
_atom_site_occupancy
Ba1 0.000 0.000 0.500 1
Ba2 0.000 0.500 0.000 1
Ba3 0.500 0.000 0.000 1
Ta1 0.000 0.000 0.000 1
Cr1 0.500 0.500 0.500 1
# DFT formation energy, eV per atom: 1.283


(3)
# ZrTl4Br | the Alexandria database | PBE | relaxed
data_ZrTl4Br
_cell_length_a 6.217
_cell_length_b 6.217
_cell_length_c 6.217
_cell_angle_alpha 60.00
_cell_angle_beta 60.00
_cell_angle_gamma 60.00
_space_group_name_H-M_alt 'P 1'
_space_group_IT_number 1
_space_group_name_Hall 'P 1'
loop_
_atom_site_label
_atom_site_fract_x
_atom_site_fract_y
_atom_site_fract_z
_atom_site_occupancy
Zr1 0.000 0.000 0.000 1
Tl1 0.375 0.375 0.375 1
Tl2 0.375 0.375 0.876 1
Tl3 0.375 0.876 0.375 1
Tl4 0.876 0.375 0.375 1
Br1 0.750 0.750 0.750 1
# ΔE_f (raw), eV per formula unit: 1.82


The records above yield M_tot values of 2.11, 4.89, 0.00 Bohr magnetons per cell, respectively.